one) Material: Tb2YTm
Method: DFT, PBE
State: optimized geometry

Lattice parameters (Å, degrees): 5.009 5.019 5.019 90.00 90.00 90.00
Positions (direct):
Tm 0.500 0.500 0.500
Tb 0.000 0.500 0.000
Tb 0.000 0.000 0.500
Y 0.500 0.000 0.000

Values from the calculation:
- calculated density (g/cm3) = 7.6
- DOS at the Fermi energy (states/eV/f.u.) = 5.927



two) Material: Tb2YTm
Method: DFT, PBE
State: optimized geometry

Lattice parameters (Å, degrees): 3.564 11.470 12.343 90.00 90.00 90.00
Positions (direct):
Tb 0.250 0.998 0.458
Tb 0.750 0.498 0.042
Tb 0.750 0.001 0.208
Tb 0.250 0.501 0.292
Tb 0.750 0.999 0.708
Tb 0.250 0.499 0.792
Tb 0.250 0.002 0.958
Tb 0.750 0.502 0.542
Y 0.749 0.750 0.874
Y 0.249 0.750 0.126
Y 0.751 0.250 0.374
Y 0.251 0.250 0.626
Tm 0.251 0.250 0.124
Tm 0.249 0.750 0.624
Tm 0.749 0.750 0.376
Tm 0.751 0.250 0.876

Values from the calculation:
- calculated density (g/cm3) = 7.6
- DOS at the Fermi energy (states/eV/f.u.) = 5.443



three) Material: Tb2YTm
Method: DFT, PBE
State: optimized geometry

Lattice parameters (Å, degrees): 6.919 6.934 12.999 122.28 90.00 90.00
Positions (direct):
Tb 0.876 0.487 0.113
Tb 0.374 0.512 0.388
Tb 0.374 0.988 0.112
Tb 0.124 0.513 0.887
Tb 0.876 0.013 0.387
Tb 0.124 0.987 0.613
Tb 0.626 0.488 0.612
Tb 0.626 0.012 0.888
Y 0.625 0.513 0.887
Y 0.375 0.487 0.113
Y 0.625 0.987 0.613
Y 0.375 0.013 0.387
Tm 0.875 0.988 0.112
Tm 0.875 0.512 0.388
Tm 0.125 0.012 0.888
Tm 0.125 0.488 0.612

Values from the calculation:
- calculated density (g/cm3) = 7.3
- DOS at the Fermi energy (states/eV/f.u.) = 7.592



Most stable structure among those shown: two).